Here is a geometry-optimized RbCrNO2 structure from Alexandria. Energies are from PBE+U. Values from VASP.

Results
Total magnetic moment ... 0.00 μB per formula unit
Raw total energy ... -2.99 eV/atom
Space-group type ... No. 123

Geometry as Quantum ESPRESSO input:
```
&SYSTEM
  ibrav = 0, nat = 5, ntyp = 4
/
ATOMIC_SPECIES
Rb 85.47 Rb.upf
Cr 52.00 Cr.upf
N 14.01 N.upf
O 16.00 O.upf
ATOMIC_POSITIONS angstrom
Rb 0.0000 0.0000 0.0000
Cr 2.1291 2.1291 2.2412
N 0.0000 0.0000 2.2412
O 0.0000 2.1291 0.0000
O 2.1291 0.0000 0.0000
CELL_PARAMETERS angstrom
4.2582 0.0000 0.0000
0.0000 4.2582 0.0000
0.0000 0.0000 4.4825
```